Pm2CrGe: optimized geometry, GGA-PBE.

Calculated values
* density of states at the Fermi level: 0.5735 states/eV per atom
* formation enthalpy at 0 K: -135.2 meV/atom
* SG: P4/mmm (123)
* DFT total energy: -24.3 eV per formula unit

The structure in POSCAR format:
```
Pm2CrGe
1.0
-1.4146 -3.6935 1.0025
1.5058 -1.7434 -4.2982
4.3192 -1.1202 1.9675
Cr Ge Pm
1 1 2
Direct
0.5000 0.0000 0.0000 Cr
0.5000 0.5000 0.5000 Ge
0.0000 0.0000 0.5000 Pm
0.0000 0.5000 0.0000 Pm
```

---

CaGaTeI2: optimized geometry, GGA-PBE.

Calculated values
* density of states at the Fermi level: 0.2679 states/eV per atom
* SG: P4/mmm (123)
* formation energy from raw total energies: -0.519 eV/atom
* energy above the most stable polymorph in this dataset: 0.012 eV/atom
* DFT total energy: -13.9 eV per formula unit

The structure in POSCAR format:
```
CaGaTeI2
1.0
-1.8955 2.3962 -4.7252
0.2026 -4.9821 -2.6077
-5.2781 -1.0454 1.5871
I Ca Te Ga
2 1 1 1
Direct
0.0000 0.5000 0.0000 I
0.5000 0.0000 0.0000 I
0.5000 0.5000 0.5000 Ca
0.0000 0.0000 0.5000 Te
0.0000 0.0000 0.0000 Ga
```

---

CsZnIn3: optimized geometry, GGA-PBE.

Calculated values
* density of states at the Fermi level: 0.5165 states/eV per atom
* formation enthalpy at 0 K: -44.2 meV/atom
* SG: Cm (8)
* energy above the most stable polymorph in this dataset: 0.000 eV/atom
* DFT total energy: -10.6 eV per formula unit

The structure in POSCAR format:
```
CsZnIn3
1.0
-1.4508 0.2992 4.7844
-0.2771 -4.9963 0.2199
5.1063 -2.5853 4.3123
Cs Zn In
1 1 3
Direct
0.4031 0.2067 0.8989 Cs
0.0249 0.8283 0.6569 Zn
0.6446 0.9489 0.4154 In
0.1453 0.4479 0.4155 In
0.7899 0.5935 0.1244 In
```

---

LaSm2Si4: optimized geometry, GGA-PBE.

Calculated values
* density of states at the Fermi level: 0.5907 states/eV per atom
* SG: Immm (71)
* formation energy from raw total energies: -0.770 eV/atom
* DFT total energy: -41.4 eV per formula unit

The structure in POSCAR format:
```
LaSm2Si4
1.0
-3.4483 0.9169 1.6808
-1.9856 -3.2738 -2.2876
4.4413 -4.5065 6.9424
La Sm Si
1 2 4
Direct
0.5000 0.0000 0.0000 La
0.8177 0.8177 0.6354 Sm
0.1823 0.1823 0.3646 Sm
0.6478 0.6478 0.2955 Si
0.3522 0.3522 0.7045 Si
0.0668 0.5668 0.1337 Si
0.9332 0.4332 0.8663 Si
```

---

Th2Cu3Si4Au: optimized geometry, GGA-PBE.

Calculated values
* density of states at the Fermi level: 0.3043 states/eV per atom
* SG: P-4m2 (115)
* formation energy from raw total energies: -0.540 eV/atom
* DFT total energy: -57.5 eV per formula unit

The structure in POSCAR format:
```
Th2Cu3Si4Au
1.0
4.1869 0.0000 0.0000
0.0000 4.1869 0.0000
0.0000 0.0000 9.9751
Th Cu Si Au
2 3 4 1
Direct
0.5000 0.0000 0.2439 Th
0.0000 0.5000 0.7561 Th
0.0000 0.0000 0.5000 Cu
0.5000 0.0000 0.8773 Cu
0.0000 0.5000 0.1227 Cu
0.5000 0.5000 0.0000 Si
0.0000 0.0000 0.0000 Si
0.5000 0.0000 0.6411 Si
0.0000 0.5000 0.3589 Si
0.5000 0.5000 0.5000 Au
```

---

Pd4Pb2Au: optimized geometry, GGA-PBE.

Calculated values
* density of states at the Fermi level: 0.3821 states/eV per atom
* formation enthalpy at 0 K: -195.8 meV/atom
* SG: Pnma (62)
* energy above the most stable polymorph in this dataset: 0.000 eV/atom
* DFT total energy: -32.8 eV per formula unit

The structure in POSCAR format:
```
Pd4Pb2Au
1.0
-2.8522 1.0672 -3.0104
-4.0448 0.3963 3.9727
4.9682 21.4969 2.9137
Pd Pb Au
16 8 4
Direct
0.2500 0.3571 0.6683 Pd
0.7500 0.6429 0.3317 Pd
0.7500 0.8571 0.8317 Pd
0.2500 0.1429 0.1683 Pd
0.2500 0.8520 0.6660 Pd
0.7500 0.1480 0.3340 Pd
0.7500 0.3520 0.8340 Pd
0.2500 0.6480 0.1660 Pd
0.2500 0.3002 0.5427 Pd
0.7500 0.6998 0.4573 Pd
0.7500 0.8002 0.9573 Pd
0.2500 0.1998 0.0427 Pd
0.2500 0.4085 0.4031 Pd
0.7500 0.5915 0.5969 Pd
0.7500 0.9085 0.0969 Pd
0.2500 0.0915 0.9031 Pd
0.2500 0.7977 0.5358 Pb
0.7500 0.2023 0.4642 Pb
0.7500 0.2977 0.9642 Pb
0.2500 0.7023 0.0358 Pb
0.2500 0.1069 0.7762 Pb
0.7500 0.8931 0.2238 Pb
0.7500 0.6069 0.7238 Pb
0.2500 0.3931 0.2762 Pb
0.7500 0.1018 0.6148 Au
0.2500 0.8982 0.3852 Au
0.2500 0.6018 0.8852 Au
0.7500 0.3982 0.1148 Au
```

---

Er2IrRh: optimized geometry, GGA-PBE.

Calculated values
* density of states at the Fermi level: 0.4237 states/eV per atom
* formation enthalpy at 0 K: -919.3 meV/atom
* SG: P4/mmm (123)
* energy above the most stable polymorph in this dataset: 0.015 eV/atom
* DFT total energy: -29.0 eV per formula unit

The structure in POSCAR format:
```
Er2IrRh
1.0
-0.5202 1.2555 3.2355
-4.6595 -0.5347 -0.5416
0.2993 -4.3762 1.7462
Ir Rh Er
1 1 2
Direct
0.5000 0.0000 0.0000 Ir
0.5000 0.5000 0.5000 Rh
0.0000 0.0000 0.5000 Er
0.0000 0.5000 0.0000 Er
```

---

BaSc2In2: optimized geometry, GGA-PBE.

Calculated values
* density of states at the Fermi level: 0.9266 states/eV per atom
* formation enthalpy at 0 K: -163.8 meV/atom
* SG: P4/mbm (127)
* energy above the most stable polymorph in this dataset: 0.066 eV/atom
* DFT total energy: -20.9 eV per formula unit

The structure in POSCAR format:
```
BaSc2In2
1.0
-8.2353 2.7983 2.3038
-1.7893 -8.1120 3.4573
1.2288 1.0549 3.1112
Sc Ba In
4 2 4
Direct
0.1701 0.6701 0.5000 Sc
0.6701 0.8299 0.5000 Sc
0.8299 0.3299 0.5000 Sc
0.3299 0.1701 0.5000 Sc
0.0000 0.0000 0.0000 Ba
0.5000 0.5000 0.0000 Ba
0.3761 0.8761 0.0000 In
0.8761 0.6239 0.0000 In
0.6239 0.1239 0.0000 In
0.1239 0.3761 0.0000 In
```

---

SrCrMo2: optimized geometry, GGA-PBE.

Calculated values
* density of states at the Fermi level: 0.9361 states/eV per atom
* formation enthalpy at 0 K: 1072.6 meV/atom
* SG: Imm2 (44)
* energy above the most stable polymorph in this dataset: 0.407 eV/atom
* DFT total energy: -28.7 eV per formula unit

The structure in POSCAR format:
```
SrCrMo2
1.0
-4.5808 -0.0761 -3.3903
-4.4800 -3.1364 1.6052
3.5223 4.3512 1.0695
Cr Mo Sr
1 2 1
Direct
0.7857 0.2857 0.5000 Cr
0.9601 0.9601 0.0000 Mo
0.2359 0.7359 0.5000 Mo
0.5183 0.5183 0.0000 Sr
```

---

LaTb5Dy2Er: optimized geometry, GGA-PBE.

Calculated values
* density of states at the Fermi level: 1.4136 states/eV per atom
* formation enthalpy at 0 K: 289.9 meV/atom
* SG: I4/mcm (140)
* DFT total energy: -39.2 eV per formula unit

The structure in POSCAR format:
```
LaTb5Dy2Er
1.0
9.0542 0.0000 0.0000
0.0000 9.0542 0.0000
-4.5271 -4.5271 7.3081
La Tb Dy Er
2 10 4 2
Direct
0.2500 0.2500 0.5000 La
0.7500 0.7500 0.5000 La
0.9261 0.4261 0.2602 Tb
0.6659 0.1659 0.7398 Tb
0.0739 0.5739 0.7398 Tb
0.1659 0.0739 0.7398 Tb
0.5739 0.6659 0.7398 Tb
0.8341 0.9261 0.2602 Tb
0.4261 0.3341 0.2602 Tb
0.3341 0.8341 0.2602 Tb
0.5000 0.5000 0.0000 Tb
0.0000 0.0000 0.0000 Tb
0.1117 0.3883 0.0000 Dy
0.6117 0.1117 0.0000 Dy
0.3883 0.8883 0.0000 Dy
0.8883 0.6117 0.0000 Dy
0.2500 0.7500 0.5000 Er
0.7500 0.2500 0.5000 Er
```

---

K2BeF4: optimized geometry, GGA-PBE.

Calculated values
* density of states at the Fermi level: 0.0000 states/eV per atom
* SG: P2_1/m (11)
* formation energy from raw total energies: -3.065 eV/atom
* energy above the most stable polymorph in this dataset: 0.023 eV/atom
* DFT total energy: -34.9 eV per formula unit

The structure in POSCAR format:
```
K2BeF4
1.0
-0.8499 0.4752 -5.5362
-0.4085 -5.7748 -0.4330
-6.6564 0.2222 3.3164
K Be F
4 2 8
Direct
0.6937 0.7500 0.0268 K
0.3063 0.2500 0.9732 K
0.1950 0.2500 0.4314 K
0.8050 0.7500 0.5686 K
0.2825 0.7500 0.2189 Be
0.7175 0.2500 0.7811 Be
0.4544 0.5321 0.2683 F
0.1576 0.7500 0.9972 F
0.8424 0.2500 0.0028 F
0.4544 0.9679 0.2683 F
0.9155 0.2500 0.6721 F
0.5456 0.0321 0.7317 F
0.5456 0.4679 0.7317 F
0.0845 0.7500 0.3279 F
```

---

MgZrSe2Br: optimized geometry, GGA-PBE.

Calculated values
* density of states at the Fermi level: 0.8514 states/eV per atom
* SG: P4/mmm (123)
* formation energy from raw total energies: -0.255 eV/atom
* energy above the most stable polymorph in this dataset: 0.419 eV/atom
* DFT total energy: -20.1 eV per formula unit

The structure in POSCAR format:
```
MgZrSe2Br
1.0
-0.3344 1.8269 -4.7072
-0.9178 -4.6609 -1.7437
-4.7368 0.7045 0.6100
Mg Se Br Zr
1 2 1 1
Direct
0.0000 0.0000 0.0000 Mg
0.0000 0.5000 0.0000 Se
0.5000 0.0000 0.0000 Se
0.0000 0.0000 0.5000 Br
0.5000 0.5000 0.5000 Zr
```

---

ReOs3: optimized geometry, GGA-PBE.

Calculated values
* density of states at the Fermi level: 1.4180 states/eV per atom
* formation enthalpy at 0 K: 734.7 meV/atom
* SG: R-3m (166)
* energy above the most stable polymorph in this dataset: 0.818 eV/atom
* DFT total energy: -43.2 eV per formula unit

The structure in POSCAR format:
```
ReOs3
1.0
-1.4258 0.4137 2.2459
-3.2175 -3.9883 -0.2321
3.7463 -0.2299 3.4965
Os Re
3 1
Direct
0.0000 0.0000 0.0000 Os
0.5000 0.0000 0.5000 Os
0.5000 0.5000 0.0000 Os
0.0000 0.5000 0.5000 Re
```

---

LiVGaNi: optimized geometry, GGA-PBE.

Calculated values
* density of states at the Fermi level: 1.4956 states/eV per atom
* formation enthalpy at 0 K: -160.1 meV/atom
* SG: F-43m (216)
* DFT total energy: -20.5 eV per formula unit

The structure in POSCAR format:
```
LiVGaNi
1.0
4.1223 0.0000 0.0000
2.0611 3.5700 0.0000
2.0611 1.1900 3.3658
Ni Li Ga V
1 1 1 1
Direct
0.5000 0.5000 0.5000 Ni
0.0000 0.0000 0.0000 Li
0.2500 0.2500 0.2500 Ga
0.7500 0.7500 0.7500 V
```

---

K4Pm3MnS8: optimized geometry, GGA-PBE.

Calculated values
* density of states at the Fermi level: 0.2400 states/eV per atom
* SG: R-3m (166)
* formation energy from raw total energies: -1.539 eV/atom
* DFT total energy: -85.4 eV per formula unit

The structure in POSCAR format:
```
K4Pm3MnS8
1.0
8.1223 0.0000 0.0000
0.0000 8.7286 0.4171
-4.0611 -4.0548 5.7502
K Pm Mn S
4 3 1 8
Direct
0.5000 0.0000 0.0000 K
0.5000 0.0000 0.5000 K
0.0000 0.0000 0.0000 K
0.0000 0.0000 0.5000 K
0.5000 0.5000 0.0000 Pm
0.5000 0.5000 0.5000 Pm
0.0000 0.5000 0.5000 Pm
0.0000 0.5000 0.0000 Mn
0.2205 0.6970 0.9765 S
0.2208 0.6972 0.4415 S
0.2633 0.2899 0.5266 S
0.7560 0.6970 0.9765 S
0.2440 0.3030 0.0235 S
0.7367 0.7101 0.4734 S
0.7792 0.3028 0.5585 S
0.7795 0.3030 0.0235 S
```

---

Sm8Te4P3C: optimized geometry, GGA-PBE.

Calculated values
* density of states at the Fermi level: 0.3395 states/eV per atom
* SG: R-3m (166)
* formation energy from raw total energies: -1.377 eV/atom
* DFT total energy: -97.8 eV per formula unit

The structure in POSCAR format:
```
Sm8Te4P3C
1.0
8.3073 0.0000 0.0000
0.0000 8.6354 0.2250
-4.1537 -4.1500 5.8771
Sm Te P C
8 4 3 1
Direct
0.2249 0.7043 0.9794 Sm
0.2249 0.7044 0.4498 Sm
0.2621 0.2865 0.5243 Sm
0.7545 0.7043 0.9794 Sm
0.2455 0.2957 0.0206 Sm
0.7379 0.7135 0.4757 Sm
0.7751 0.2956 0.5502 Sm
0.7751 0.2957 0.0206 Sm
0.5000 0.0000 0.0000 Te
0.5000 0.0000 0.5000 Te
0.0000 0.0000 0.0000 Te
0.0000 0.0000 0.5000 Te
0.5000 0.5000 0.0000 P
0.5000 0.5000 0.5000 P
0.0000 0.5000 0.5000 P
0.0000 0.5000 0.0000 C
```

---

SrTiTc3: optimized geometry, GGA-PBE.

Calculated values
* density of states at the Fermi level: 1.4638 states/eV per atom
* formation enthalpy at 0 K: 1044.8 meV/atom
* SG: Pm-3m (221)
* energy above the most stable polymorph in this dataset: 0.000 eV/atom
* DFT total energy: -35.5 eV per formula unit

The structure in POSCAR format:
```
SrTiTc3
1.0
-0.3548 3.7096 -2.8985
-3.8220 -1.9241 -1.9946
-2.7486 2.1966 3.1478
Sr Tc Ti
1 3 1
Direct
0.5000 0.5000 0.5000 Sr
0.0000 0.5000 0.0000 Tc
0.0000 0.0000 0.5000 Tc
0.5000 0.0000 0.0000 Tc
0.0000 0.0000 0.0000 Ti
```

---

Sc2CoPt: optimized geometry, GGA-PBE.

Calculated values
* density of states at the Fermi level: 0.7173 states/eV per atom
* formation enthalpy at 0 K: -403.7 meV/atom
* SG: R-3m (166)
* DFT total energy: -27.4 eV per formula unit

The structure in POSCAR format:
```
Sc2CoPt
1.0
-6.9834 -0.7999 1.2925
-6.0227 -3.8446 -0.1535
-5.4575 -3.2688 3.2572
Co Pt Sc
1 1 2
Direct
0.2500 0.2500 0.2500 Co
0.7500 0.7500 0.7500 Pt
0.9936 0.9936 0.9936 Sc
0.5064 0.5064 0.5064 Sc
```

---

BeW2Cl: optimized geometry, GGA-PBE.

Calculated values
* density of states at the Fermi level: 0.4892 states/eV per atom
* SG: Imm2 (44)
* formation energy from raw total energies: 0.816 eV/atom
* energy above the most stable polymorph in this dataset: 0.503 eV/atom
* DFT total energy: -28.2 eV per formula unit

The structure in POSCAR format:
```
BeW2Cl
1.0
5.3277 0.0074 0.0036
2.6988 4.5936 -0.0036
-3.4263 -3.3243 2.3650
Be W Cl
1 2 1
Direct
0.5072 0.5072 0.0000 Be
0.0191 0.0191 0.0000 W
0.7312 0.2312 0.5000 W
0.2426 0.7426 0.5000 Cl
```